Material: TmSbIr
Method: DFT, GGA-PBEsol
State: optimized geometry

VASP energy = -7.33 eV per atom

Structure (POSCAR):
```
TmSbIr
1.0
6.995 0.000 0.000
0.000 4.451 0.000
0.000 0.000 7.793
Tm Sb Ir
4 4 4
direct
0.010 0.250 0.192 Tm
0.490 0.750 0.692 Tm
0.510 0.250 0.308 Tm
0.990 0.750 0.808 Tm
0.178 0.250 0.589 Sb
0.322 0.750 0.089 Sb
0.678 0.250 0.911 Sb
0.822 0.750 0.411 Sb
0.212 0.750 0.413 Ir
0.288 0.250 0.913 Ir
0.712 0.750 0.087 Ir
0.788 0.250 0.587 Ir
```